A plane-wave DFT calculation with PBE was carried out for an optimized crystal structure of YReAs2.

Summary:
The total magnetic moment is 0.0 μB/f.u. The calculation puts the mass density at 9.37 g/cm3. As for the formation enthalpy at 0 K: -0.21 eV per atom. As for the symmetry: P4mm. The energy above the most stable polymorph in this dataset comes out at 214 meV per atom. As for the calculated volume: 75.4 Å³ per cell.

Cell: 3.4058 3.4058 6.4961 Å, 90.00 90.00 90.00°
Closest atoms and distances in Å follow each position.
Element x y z (fractional)
Y: 0.5000 0.5000 0.7614  5 As 2.94-3.12, 4 Re 3.20
Re: 0.0000 0.0000 0.4364  5 As 2.61-2.70
As: 0.0000 0.0000 0.0208  1 Re 2.70, 4 Y 2.94, 4 As 2.94
As: 0.5000 0.5000 0.2814  4 Re 2.61